Model one:
Density functional theory data (GGA-PBE) for an optimized crystal structure of Bi2TePd2.

* symmetry: P4/mbm (127)

The structure in POSCAR format:
```
Bi2TePd2
1.0
8.6208 0.0000 0.0000
0.0000 8.6208 0.0000
0.0000 0.0000 3.2739
Te Bi Pd
2 4 4
direct
0.0000 0.0000 0.0000
0.5000 0.5000 0.0000
0.6667 0.1667 0.0000
0.3333 0.8333 0.0000
0.8333 0.6667 0.0000
0.1667 0.3333 0.0000
0.1170 0.6170 0.5000
0.3830 0.1170 0.5000
0.6170 0.8830 0.5000
0.8830 0.3830 0.5000
```

***

Model two:
Density functional theory data (GGA-PBE) for an optimized crystal structure of Bi2TePd2.

* symmetry: Cmc2_1 (36)

The structure in POSCAR format:
```
Bi2TePd2
1.0
-1.9541 -1.3193 -3.6624
4.9012 0.1550 -2.6709
2.6461 -8.7926 4.3456
Pd Bi Te
4 4 2
direct
0.3291 0.5543 0.6583
0.1324 0.3696 0.2648
0.6709 0.0543 0.3417
0.8676 0.8696 0.7352
0.2727 0.0744 0.5455
0.7273 0.5744 0.4545
0.4580 0.8514 0.9159
0.5420 0.3514 0.0841
0.1055 0.8548 0.2110
0.8945 0.3548 0.7890
```

***

Energetically preferred structure: model two | next structure: +229 meV/atom

***

Model one:
Density functional theory data (GGA-PBE) for an optimized crystal structure of BiTe2Pd7.

* symmetry: Cmmm (65)

The structure in POSCAR format:
```
BiTe2Pd7
1.0
-3.8017 -1.2206 -0.6269
2.6480 -5.5270 -5.2970
-0.9151 -1.2346 7.9534
Pd Bi Te
7 1 2
direct
0.5000 0.9182 0.7123
0.5000 0.7123 0.9182
0.5000 0.5000 0.5000
0.0000 0.2061 0.7939
0.0000 0.7939 0.2061
0.5000 0.2877 0.0818
0.5000 0.0818 0.2877
0.0000 0.0000 0.0000
0.5000 0.3173 0.6827
0.5000 0.6827 0.3173
```

***

Model two:
Density functional theory data (GGA-PBE) for an optimized crystal structure of BiTe2Pd7.

* symmetry: I4/mmm (139)

The structure in POSCAR format:
```
BiTe2Pd7
1.0
4.3053 0.0000 -0.8284
-0.1594 4.3023 -0.8284
-0.2004 -0.2079 10.5601
Te Pd Bi
2 7 1
direct
0.6703 0.6703 0.3405
0.3297 0.3297 0.6595
0.7500 0.2500 0.5000
0.5000 0.5000 0.0000
0.0947 0.5947 0.1894
0.5947 0.0947 0.1894
0.4053 0.9053 0.8106
0.9053 0.4053 0.8106
0.2500 0.7500 0.5000
0.0000 0.0000 0.0000
```

***

Energetically preferred structure: model two | next structure: +145 meV/atom